# Ta2CuPb3O9

An optimized crystal structure of Ta2CuPb3O9 (PBE, Alexandria).

```
15
Lattice="5.739 0.000 0.000 -2.870 4.970 0.000 0.000 0.000 7.071" Properties=species:S:1:pos:R:3 pbc="T T T"
Ta 0.000 3.314 1.228
Ta 2.870 1.657 5.843
Cu 0.000 0.000 3.536
Pb 0.000 0.000 0.000
Pb 0.000 3.314 4.576
Pb 2.870 1.657 2.496
O -1.435 2.485 0.000
O 0.000 1.694 2.311
O -1.403 4.123 2.311
O 1.467 0.847 4.760
O 2.870 0.000 0.000
O 1.435 2.485 0.000
O 1.403 4.123 2.311
O 4.272 0.847 4.760
O 2.870 3.276 4.760
```

Output
total DFT energy (no corrections) = -110.67 eV per cell
space group = P-3m1, No. 164
magnetization = 1.00 Bohr magnetons per cell

---

# TaCuPb2O5

An optimized crystal structure of TaCuPb2O5 (PBE, Alexandria).

```
18
Lattice="1.603 -7.544 0.000 1.603 7.544 0.000 0.000 0.000 11.703" Properties=species:S:1:pos:R:3 pbc="T T T"
Ta 1.603 4.452 5.851
Ta 1.603 -4.452 0.000
Cu 1.603 0.631 10.454
Cu 1.603 -0.631 4.602
Pb 1.603 6.801 1.552
Pb 1.603 5.287 9.425
Pb 1.603 -5.287 3.574
Pb 1.603 -6.801 7.404
O 1.603 6.464 5.974
O 1.603 3.289 1.238
O 1.603 2.895 10.385
O 1.603 2.555 5.337
O 1.603 0.278 2.918
O 1.603 -0.278 8.770
O 1.603 -2.555 11.188
O 1.603 -2.895 4.533
O 1.603 -3.289 7.089
O 1.603 -6.464 0.122
```

Output
total DFT energy (no corrections) = -123.90 eV per cell
space group = Cmc2_1, No. 36
magnetization = 0.00 Bohr magnetons per cell

---

# Cu2TcPbO6

An optimized crystal structure of Cu2TcPbO6 (PBE, Alexandria).

```
20
Lattice="5.514 -5.138 0.000 5.514 5.138 0.000 -3.596 0.000 5.751" Properties=species:S:1:pos:R:3 pbc="T T T"
Cu 1.157 0.104 0.761
Cu -0.641 -0.104 3.636
Cu 8.072 0.104 2.115
Cu 6.274 -0.104 4.990
Tc 4.615 1.630 1.438
Tc 2.816 -1.630 4.313
Pb 2.816 2.614 4.313
Pb 4.615 -2.614 1.438
O 0.265 0.757 2.272
O 4.360 2.675 0.038
O -1.533 -0.757 5.148
O 3.190 0.674 1.732
O 4.869 2.675 2.838
O 1.392 -0.674 4.608
O 6.039 0.674 1.144
O 2.562 -2.675 2.913
O 4.241 -0.674 4.019
O 8.965 0.757 0.603
O 3.071 -2.675 5.713
O 7.166 -0.757 3.479
```

Output
total DFT energy (no corrections) = -123.00 eV per cell
space group = C2/c, No. 15
magnetization = 2.06 Bohr magnetons per cell

---

# CuTc2PbO8

An optimized crystal structure of CuTc2PbO8 (PBE, Alexandria).

```
12
Lattice="2.551 1.473 7.773 -2.551 1.473 7.773 0.000 -2.946 7.773" Properties=species:S:1:pos:R:3 pbc="T T T"
Cu 0.000 0.000 0.000
Tc 0.000 0.000 5.902
Tc 0.000 0.000 17.417
Pb 0.000 0.000 11.660
O -0.852 -1.524 9.146
O 0.000 0.000 4.111
O -0.894 -1.500 14.173
O -0.894 1.500 9.146
O -0.852 1.524 14.173
O 1.746 0.024 9.146
O 0.000 0.000 19.208
O 1.746 -0.024 14.173
```

Output
total DFT energy (no corrections) = -81.23 eV per cell
space group = R32, No. 155
magnetization = 1.05 Bohr magnetons per cell

---

# Cu2TcPb3O8

An optimized crystal structure of Cu2TcPb3O8 (PBE, Alexandria).

```
14
Lattice="5.909 0.000 0.000 -2.954 5.117 0.000 0.000 0.000 6.871" Properties=species:S:1:pos:R:3 pbc="T T T"
Cu 0.000 3.412 1.839
Cu 2.954 1.706 5.032
Tc 0.000 0.000 3.435
Pb 0.000 0.000 0.000
Pb 0.000 3.412 4.750
Pb 2.954 1.706 2.120
O 0.000 1.520 2.259
O -1.638 4.357 2.259
O 1.316 0.760 4.612
O 0.000 3.412 6.808
O 2.954 1.706 0.063
O 1.638 4.357 2.259
O 4.593 0.760 4.612
O 2.954 3.597 4.612
```

Output
total DFT energy (no corrections) = -81.07 eV per cell
space group = P-3m1, No. 164
magnetization = 0.00 Bohr magnetons per cell

---

# CuTePbO6

An optimized crystal structure of CuTePbO6 (PBE, Alexandria).

```
18
Lattice="5.409 0.000 0.000 -2.705 4.684 0.000 0.000 0.000 8.917" Properties=species:S:1:pos:R:3 pbc="T T T"
Cu 0.000 0.000 0.000
Cu 0.000 0.000 4.459
Te 0.000 3.123 2.229
Te 2.705 1.561 6.688
Pb 0.000 3.123 6.688
Pb 2.705 1.561 2.229
O -0.800 1.691 1.130
O -1.640 3.146 3.329
O 0.800 1.691 3.329
O -0.840 4.532 1.130
O 1.865 0.153 5.588
O 1.065 1.539 7.788
O 1.640 3.146 1.130
O 0.840 4.532 3.329
O 3.544 0.153 7.788
O 1.904 2.993 5.588
O 4.344 1.539 5.588
O 3.505 2.993 7.788
```

Output
total DFT energy (no corrections) = -93.76 eV per cell
space group = P-31c, No. 163
magnetization = 2.06 Bohr magnetons per cell

---

# Cu2TePbO2

An optimized crystal structure of Cu2TePbO2 (PBE, Alexandria).

```
12
Lattice="5.321 0.000 0.000 0.000 5.358 0.000 -1.706 0.000 7.316" Properties=species:S:1:pos:R:3 pbc="T T T"
Cu -0.106 1.340 1.593
Cu 1.407 4.019 0.904
Cu 2.207 1.340 6.412
Cu 3.720 4.019 5.723
Te -0.406 1.340 6.645
Te 4.020 4.019 0.671
Pb 0.714 4.019 4.213
Pb 2.900 1.340 3.103
O 1.161 0.004 2.402
O 1.161 2.676 2.402
O 2.453 2.683 4.914
O 2.453 5.355 4.914
```

Output
total DFT energy (no corrections) = -54.41 eV per cell
space group = P2_1/m, No. 11
magnetization = 0.00 Bohr magnetons per cell

---

# CuTe2PbO8

An optimized crystal structure of CuTe2PbO8 (PBE, Alexandria).

```
12
Lattice="2.599 1.500 7.448 -2.599 1.500 7.448 0.000 -3.001 7.448" Properties=species:S:1:pos:R:3 pbc="T T T"
Cu 0.000 0.000 0.000
Te 0.000 0.000 5.819
Te 0.000 0.000 16.526
Pb 0.000 0.000 11.173
O -0.784 -1.506 8.655
O 0.000 0.000 3.968
O -1.696 -0.074 13.691
O -0.912 1.432 8.655
O 0.912 -1.432 13.691
O 1.696 0.074 8.655
O 0.000 0.000 18.378
O 0.784 1.506 13.691
```

Output
total DFT energy (no corrections) = -62.00 eV per cell
space group = R-3, No. 148
magnetization = 1.00 Bohr magnetons per cell

---

What is the formula in the eighth record? CuTe2PbO8